Computed, not measured: a relaxed structure of VCoNi6 at the GGA-PBE level of DFT.

## Properties
Space-group type: No. 38
Energy of formation from the pure elements, eV/f.u.: -0.73
Energy above the lowest structure with this stoichiometry, meV per atom: 0
Electronic total energy, hartree per atom: -0.2372

Unit cell a=3.4908 b=5.0292 c=5.0292 alpha=90.75 beta=90.00 gamma=90.00
Last column: nearest neighbours and their distance in Å.
Sites, in units of the cell vectors:
1 V 0.0000 0.0000 0.0000  2 Co 2.47, 10 Ni 2.49-2.53
2 Co 0.5000 0.2478 0.2478  2 V 2.47, 10 Ni 2.48-2.51
3 Ni 0.0000 0.4970 0.4970  2 Co 2.48, 10 Ni 2.49-2.53
4 Ni 0.0000 0.4971 0.9994  8 Ni 2.48-2.53, 2 Co 2.49, 2 V 2.50-2.53
5 Ni 0.0000 0.9994 0.4971  8 Ni 2.48-2.53, 2 Co 2.49, 2 V 2.50-2.53
6 Ni 0.5000 0.2481 0.7477  8 Ni 2.48-2.52, 2 V 2.50, 2 Co 2.51
7 Ni 0.5000 0.7477 0.2481  8 Ni 2.48-2.52, 2 V 2.50, 2 Co 2.51
8 Ni 0.5000 0.7492 0.7492  2 V 2.49, 10 Ni 2.49-2.52